Arrangement A

The following is a DFT calculation (PBE-GGA) of an optimized crystal structure of AcCo2P2.

a b c (Å): 3.799 3.799 6.452
angles (deg): 107.12 107.12 90.00
Each line ends with the local moment (μB).
Fractional positions:
P (0.349, 0.349, 0.697)  0.00
P (0.651, 0.651, 0.303)  0.00
Co (0.250, 0.750, 0.500)  0.38
Co (0.750, 0.250, 0.500)  0.38
Ac (0.000, 0.000, 0.000)  0.01

Values from the calculation:
Space group   I4/mmm (139)
Magnetic moment   0.7 μB/f.u.
Fermi-level density of states   0.7461 states/eV/atom
Calculated volume   16.9 A^3/atom



Arrangement B

The following is a DFT calculation (PBE-GGA) of an optimized crystal structure of AcCo2P2.

a b c (Å): 6.012 6.012 6.137
angles (deg): 105.86 105.86 116.25
Fractional positions:
Co (0.500, 0.250, 0.001)
Co (0.250, 0.000, 0.499)
Co (0.750, 0.000, 0.501)
Co (0.500, 0.750, 0.999)
P (0.551, 0.949, 0.750)
P (0.199, 0.301, 0.750)
P (0.449, 0.051, 0.250)
P (0.801, 0.699, 0.250)
Ac (0.125, 0.375, 0.250)
Ac (0.875, 0.625, 0.750)

Values from the calculation:
Space group   Fddd (70)
Magnetic moment   0.0 μB/f.u.
Fermi-level density of states   0.6882 states/eV/atom
Calculated volume   17.0 A^3/atom



We find arrangement A to be the most stable, with the next structure 0.018 eV/atom higher.